# CaSiP2, optimized geometry, DFT PBE
# Formation energy without anion corrections   -0.7 kcal/mol of atoms
# V   145 Å³ per cell
# Total moment   0.00 Bohr magnetons per cell
# VASP energy   -4.591 eV per atom
data_CaSiP2
_chemical_formula_sum 'Ca2 Si2 P4'
_space_group_name_H-M_alt 'I -4 m 2'
_space_group_IT_number 119
_space_group_name_Hall 'I -4 -2'
_cell_length_a 3.8692
_cell_length_b 3.8692
_cell_length_c 9.6960
_cell_angle_alpha 90.00
_cell_angle_beta 90.00
_cell_angle_gamma 90.00
loop_
_atom_site_label
_atom_site_fract_x
_atom_site_fract_y
_atom_site_fract_z
Ca1 0.0000 0.0000 0.0000
Si1 0.0000 0.5000 0.2500
P1 0.0000 0.0000 0.5000
P2 0.0000 0.5000 0.7500

# Sm2PbSe, optimized geometry, DFT PBE
# Formation energy without anion corrections   -23.7 kcal/mol of atoms
# Energy above the most stable polymorph in this dataset   157 meV per atom
# V   106 Å³ per cell
# Total moment   0.17 Bohr magnetons per cell
# VASP energy   -5.185 eV per atom
data_Sm2PbSe
_chemical_formula_sum 'Sm2 Pb1 Se1'
_space_group_name_H-M_alt 'P 4/m m m'
_space_group_IT_number 123
_space_group_name_Hall '-P 4 2'
_cell_length_a 3.5954
_cell_length_b 3.5954
_cell_length_c 8.2054
_cell_angle_alpha 90.00
_cell_angle_beta 90.00
_cell_angle_gamma 90.00
loop_
_atom_site_label
_atom_site_fract_x
_atom_site_fract_y
_atom_site_fract_z
Sm1 0.0000 0.0000 0.2253
Pb1 0.5000 0.5000 0.5000
Se1 0.5000 0.5000 0.0000

# La2SmDy5Er, optimized geometry, DFT PBE
# V   1189 Å³ per cell
# Total moment   0.00 Bohr magnetons per cell
# ΔE_f   259 meV per atom
# VASP energy   -4.424 eV per atom
data_La2SmDy5Er
_chemical_formula_sum 'La8 Sm4 Dy20 Er4'
_space_group_name_H-M_alt 'I 4/m c m'
_space_group_IT_number 140
_space_group_name_Hall '-I 4 2c'
_cell_length_a 8.6515
_cell_length_b 8.6515
_cell_length_c 15.8904
_cell_angle_alpha 90.00
_cell_angle_beta 90.00
_cell_angle_gamma 90.00
loop_
_atom_site_label
_atom_site_fract_x
_atom_site_fract_y
_atom_site_fract_z
La1 0.1180 0.3820 0.0000
Sm1 0.0000 0.0000 0.2500
Dy1 0.0000 0.0000 0.0000
Dy2 0.2167 0.2833 0.3581
Er1 0.0000 0.5000 0.2500

# Tm2ScMn, optimized geometry, DFT PBE
# Energy above the most stable polymorph in this dataset   0 meV per atom
# V   97 Å³ per cell
# Total moment   3.68 Bohr magnetons per cell
# ΔE_f   110 meV per atom
# VASP energy   -6.001 eV per atom
data_Tm2ScMn
_chemical_formula_sum 'Tm2 Sc1 Mn1'
_space_group_name_H-M_alt 'P 4/m m m'
_space_group_IT_number 123
_space_group_name_Hall '-P 4 2'
_cell_length_a 3.4358
_cell_length_b 3.4358
_cell_length_c 8.1813
_cell_angle_alpha 90.00
_cell_angle_beta 90.00
_cell_angle_gamma 90.00
loop_
_atom_site_label
_atom_site_fract_x
_atom_site_fract_y
_atom_site_fract_z
Tm1 0.0000 0.0000 0.2107
Sc1 0.5000 0.5000 0.5000
Mn1 0.5000 0.5000 0.0000

# GdLuHf2, optimized geometry, DFT PBE
# Energy above the most stable polymorph in this dataset   0 meV per atom
# V   102 Å³ per cell
# Total moment   7.17 Bohr magnetons per cell
# ΔE_f   169 meV per atom
# VASP energy   -9.458 eV per atom
data_GdLuHf2
_chemical_formula_sum 'Gd1 Lu1 Hf2'
_space_group_name_H-M_alt 'P 4/m m m'
_space_group_IT_number 123
_space_group_name_Hall '-P 4 2'
_cell_length_a 4.6492
_cell_length_b 4.6492
_cell_length_c 4.7359
_cell_angle_alpha 90.00
_cell_angle_beta 90.00
_cell_angle_gamma 90.00
loop_
_atom_site_label
_atom_site_fract_x
_atom_site_fract_y
_atom_site_fract_z
Gd1 0.0000 0.0000 0.0000
Lu1 0.5000 0.5000 0.0000
Hf1 0.0000 0.5000 0.5000

# ScRh2Cl, optimized geometry, DFT PBE
# Formation energy without anion corrections   -1.5 kcal/mol of atoms
# Energy above the most stable polymorph in this dataset   439 meV per atom
# V   260 Å³ per cell
# Total moment   2.45 Bohr magnetons per cell
# VASP energy   -5.784 eV per atom
data_ScRh2Cl
_chemical_formula_sum 'Sc4 Rh8 Cl4'
_space_group_name_H-M_alt 'F m -3 m'
_space_group_IT_number 225
_space_group_name_Hall '-F 4 2 3'
_cell_length_a 6.3854
_cell_length_b 6.3854
_cell_length_c 6.3854
_cell_angle_alpha 90.00
_cell_angle_beta 90.00
_cell_angle_gamma 90.00
loop_
_atom_site_label
_atom_site_fract_x
_atom_site_fract_y
_atom_site_fract_z
Sc1 0.0000 0.0000 0.0000
Rh1 0.2500 0.2500 0.2500
Cl1 0.0000 0.0000 0.5000

# CsS5Br, optimized geometry, DFT PBE
# Formation energy without anion corrections   -5.8 kcal/mol of atoms
# V   1047 Å³ per cell
# Total moment   0.00 Bohr magnetons per cell
# VASP energy   -3.561 eV per atom
data_CsS5Br
_chemical_formula_sum 'Cs4 S20 Br4'
_space_group_name_H-M_alt 'C 1 2/c 1'
_space_group_IT_number 15
_cell_length_a 9.3797
_cell_length_b 18.7122
_cell_length_c 7.5526
_cell_angle_alpha 90.00
_cell_angle_beta 127.83
_cell_angle_gamma 90.00
loop_
_space_group_symop_operation_xyz
'x,y,z'
'-x,-y,-z'
'-x,y,-z+1/2'
'x,-y,z+1/2'
'x+1/2,y+1/2,z'
'-x+1/2,-y+1/2,-z'
'-x+1/2,y+1/2,-z+1/2'
'x+1/2,-y+1/2,z+1/2'
loop_
_atom_site_label
_atom_site_fract_x
_atom_site_fract_y
_atom_site_fract_z
Cs1 0.2500 0.2500 0.0000
S1 0.0000 0.1560 0.2500
S2 0.0635 0.3569 0.4344
S3 0.2100 0.0906 0.3165
Br1 0.0000 0.0982 0.7500

# SmHoAlNi, optimized geometry, DFT PBE
# V   357 Å³ per cell
# Total moment   0.00 Bohr magnetons per cell
# ΔE_f   -280 meV per atom
# VASP energy   -4.985 eV per atom
data_SmHoAlNi
_chemical_formula_sum 'Sm4 Ho4 Al4 Ni4'
_space_group_name_H-M_alt 'F -4 3 m'
_space_group_IT_number 216
_space_group_name_Hall 'F -4 2 3'
_cell_length_a 7.0940
_cell_length_b 7.0940
_cell_length_c 7.0940
_cell_angle_alpha 90.00
_cell_angle_beta 90.00
_cell_angle_gamma 90.00
loop_
_atom_site_label
_atom_site_fract_x
_atom_site_fract_y
_atom_site_fract_z
Sm1 0.0000 0.0000 0.0000
Ho1 0.0000 0.0000 0.5000
Al1 0.2500 0.2500 0.7500
Ni1 0.2500 0.2500 0.2500

# Ho4CuI5, optimized geometry, DFT PBE
# Formation energy without anion corrections   -22.3 kcal/mol of atoms
# V   676 Å³ per cell
# Total moment   0.00 Bohr magnetons per cell
# VASP energy   -3.981 eV per atom
data_Ho4CuI5
_chemical_formula_sum 'Ho8 Cu2 I10'
_space_group_name_H-M_alt 'C 1 2/m 1'
_space_group_IT_number 12
_cell_length_a 19.1098
_cell_length_b 4.0866
_cell_length_c 8.8636
_cell_angle_alpha 90.00
_cell_angle_beta 102.58
_cell_angle_gamma 90.00
loop_
_space_group_symop_operation_xyz
'x,y,z'
'-x,-y,-z'
'-x,y,-z'
'x,-y,z'
'x+1/2,y+1/2,z'
'-x+1/2,-y+1/2,-z'
'-x+1/2,y+1/2,-z'
'x+1/2,-y+1/2,z'
loop_
_atom_site_label
_atom_site_fract_x
_atom_site_fract_y
_atom_site_fract_z
Ho1 0.0002 0.0000 0.2072
Ho2 0.1430 0.5000 0.0733
Cu1 0.0000 0.5000 0.0000
I1 0.0000 0.5000 0.5000
I2 0.1677 0.0000 0.3432
I3 0.1764 0.0000 0.8282

# Na5Li3Cl12, optimized geometry, DFT PBE
# Formation energy without anion corrections   -27.0 kcal/mol of atoms
# V   4205 Å³ per cell
# Total moment   32.12 Bohr magnetons per cell
# VASP energy   -2.897 eV per atom
data_Na5Li3Cl12
_chemical_formula_sum 'Na40 Li24 Cl96'
_space_group_name_H-M_alt 'I a -3 d'
_space_group_IT_number 230
_space_group_name_Hall '-I 4bd 2c 3'
_cell_length_a 16.1410
_cell_length_b 16.1410
_cell_length_c 16.1410
_cell_angle_alpha 90.00
_cell_angle_beta 90.00
_cell_angle_gamma 90.00
loop_
_atom_site_label
_atom_site_fract_x
_atom_site_fract_y
_atom_site_fract_z
Na1 0.0000 0.0000 0.0000
Na2 0.0000 0.2500 0.3750
Li1 0.0000 0.2500 0.1250
Cl1 0.0323 0.0942 0.6449

# Tc3AsPt, optimized geometry, DFT PBE
# Energy above the most stable polymorph in this dataset   783 meV per atom
# V   107 Å³ per cell
# Total moment   1.87 Bohr magnetons per cell
# ΔE_f   1939 meV per atom
# VASP energy   -6.418 eV per atom
data_Tc3AsPt
_chemical_formula_sum 'Tc3 As1 Pt1'
_space_group_name_H-M_alt 'P m -3 m'
_space_group_IT_number 221
_space_group_name_Hall '-P 4 2 3'
_cell_length_a 4.7499
_cell_length_b 4.7499
_cell_length_c 4.7499
_cell_angle_alpha 90.00
_cell_angle_beta 90.00
_cell_angle_gamma 90.00
loop_
_atom_site_label
_atom_site_fract_x
_atom_site_fract_y
_atom_site_fract_z
Tc1 0.0000 0.0000 0.5000
As1 0.5000 0.5000 0.5000
Pt1 0.0000 0.0000 0.0000

Please write out number 3 again, unchanged.
# La2SmDy5Er, optimized geometry, DFT PBE
# V   1189 Å³ per cell
# Total moment   0.00 Bohr magnetons per cell
# ΔE_f   259 meV per atom
# VASP energy   -4.424 eV per atom
data_La2SmDy5Er
_chemical_formula_sum 'La8 Sm4 Dy20 Er4'
_space_group_name_H-M_alt 'I 4/m c m'
_space_group_IT_number 140
_space_group_name_Hall '-I 4 2c'
_cell_length_a 8.6515
_cell_length_b 8.6515
_cell_length_c 15.8904
_cell_angle_alpha 90.00
_cell_angle_beta 90.00
_cell_angle_gamma 90.00
loop_
_atom_site_label
_atom_site_fract_x
_atom_site_fract_y
_atom_site_fract_z
La1 0.1180 0.3820 0.0000
Sm1 0.0000 0.0000 0.2500
Dy1 0.0000 0.0000 0.0000
Dy2 0.2167 0.2833 0.3581
Er1 0.0000 0.5000 0.2500

Question: Among the records above, which one has the lowest VASP energy?
Answer: GdLuHf2

Question: Which formula does entry 10 have?
Answer: Na5Li3Cl12